Compound: K2BaNaPd
Source: Alexandria via LeMat-Bulk
Functional: GGA-PBE
Structure: optimized geometry

```
5
Lattice="6.447 0.000 0.000 0.000 6.447 0.000 0.000 0.000 6.148" Properties=species:S:1:pos:R:3 pbc="T T T"
K 0.000 3.223 0.000
K 3.223 0.000 0.000
Ba 0.000 0.000 3.074
Na 3.223 3.223 3.074
Pd 0.000 0.000 0.000
```

Summary:
Size of the total moment, μB/atom: 0.064
DFT formation energy, eV per atom: -0.01
Raw total energy, eV/atom: -2.135
DOS(E_F), states/eV/f.u.: 4.3